DFT (GGA-PBE) results for a relaxed structure of Zn5P6H18O30.

Values from the calculation:
E	-5.677	eV/atom
mass density	2.8	g/cm3

Lattice parameters (Å, degrees): 7.967 9.534 9.817 112.55 113.81 95.03
Space group P-1 (No. 2)
Asymmetric unit:
Zn 0.000 0.000 0.000 x1
Zn 0.055 0.668 0.231 x2
Zn 0.438 0.318 0.565 x2
P 0.122 0.025 0.373 x2
P 0.239 0.571 0.494 x2
P 0.330 0.574 0.084 x2
H 0.052 0.866 0.528 x2
H 0.127 0.552 0.663 x2
H 0.186 0.874 0.836 x2
H 0.207 0.277 0.050 x2
H 0.235 0.283 0.221 x2
H 0.309 0.915 0.032 x2
H 0.412 0.572 0.893 x2
H 0.461 0.065 0.735 x2
H 0.469 0.898 0.720 x2
O 0.020 0.870 0.620 x2
O 0.040 0.871 0.370 x2
O 0.041 0.550 0.352 x2
O 0.144 0.999 0.218 x2
O 0.175 0.874 0.932 x2
O 0.181 0.411 0.973 x2
O 0.220 0.212 0.110 x2
O 0.234 0.620 0.663 x2
O 0.270 0.700 0.193 x2
O 0.285 0.412 0.432 x2
O 0.321 0.111 0.529 x2
O 0.378 0.644 0.980 x2
O 0.386 0.712 0.528 x2
O 0.483 0.006 0.800 x2
O 0.488 0.450 0.795 x2


DFT (GGA-PBE) results for a relaxed structure of K3Zr4.

Values from the calculation:
distance to the lowest polymorph of the same formula	0	meV per atom
E	-4.696	eV/atom
mass density	3.5	g/cm3

Lattice parameters (Å, degrees): 10.436 4.890 10.437 90.00 119.95 90.00
Space group P2_1/m (No. 11)
Asymmetric unit:
K 0.142 0.250 0.288 x2
K 0.146 0.250 0.858 x2
K 0.288 0.750 0.146 x2
Zr 0.137 0.750 0.568 x2
Zr 0.333 0.250 0.667 x2
Zr 0.431 0.750 0.863 x2
Zr 0.432 0.750 0.569 x2


DFT (GGA-PBE) results for a relaxed structure of HfTaCoAs.

Values from the calculation:
distance to the lowest polymorph of the same formula	0	meV per atom
E	-8.139	eV/atom
mass density	12.7	g/cm3

Lattice parameters (Å, degrees): 6.359 6.359 6.359 90.00 90.00 90.00
Space group F-43m (No. 216)
Asymmetric unit:
Hf 0.000 0.000 0.000 x4
Ta 0.250 0.250 0.250 x4
Co 0.250 0.250 0.750 x4
As 0.000 0.000 0.500 x4


DFT (GGA-PBE) results for a relaxed structure of Mg6Zn7.

Values from the calculation:
E	-1.303	eV/atom
mass density	4.0	g/cm3

Lattice parameters (Å, degrees): 5.7438 5.7438 26.0763 90.00 90.00 120.00
Space group R-3m (No. 166, hexagonal axes)
Asymmetric unit:
Mg 0.0028 0.5014 0.4122 x18
Zn 0.0000 0.0000 0.0000 x3
Zn 0.0000 0.0000 0.1669 x6
Zn 0.0000 0.0000 0.3510 x6
Zn 0.0000 0.0000 0.4519 x6